(1)
! PBE Cs3Pu2MgO9, relaxed; values from VASP
! **Raw formation energy**: -2.18 eV/atom
&SYSTEM
  ibrav = 0, nat = 15, ntyp = 4
/
ATOMIC_SPECIES
Pu 244.00 Pu.upf
O 16.00 O.upf
Cs 132.91 Cs.upf
Mg 24.30 Mg.upf
ATOMIC_POSITIONS crystal
Pu 0.3333 0.6667 0.1672
Pu 0.6667 0.3333 0.8328
O 0.8218 0.6436 0.6814
O 0.5000 0.0000 0.0000
O 0.8218 0.1782 0.6814
O 0.6436 0.8218 0.3186
O 0.1782 0.8218 0.3186
O 0.5000 0.5000 0.0000
O 0.3564 0.1782 0.6814
O 0.1782 0.3564 0.3186
O 0.0000 0.5000 0.0000
Cs 0.0000 0.0000 0.0000
Cs 0.6667 0.3333 0.3408
Cs 0.3333 0.6667 0.6592
Mg 0.0000 0.0000 0.5000
CELL_PARAMETERS angstrom
-0.3679 -6.1190 -0.3715
1.9904 3.2543 -4.8128
7.0763 -0.5794 2.5348

=====

(2)
! PBE Cs4Pu3MgO12, relaxed; values from VASP
! **Raw formation energy**: -2.29 eV/atom
&SYSTEM
  ibrav = 0, nat = 20, ntyp = 4
/
ATOMIC_SPECIES
Cs 132.91 Cs.upf
Pu 244.00 Pu.upf
O 16.00 O.upf
Mg 24.30 Mg.upf
ATOMIC_POSITIONS crystal
Cs 0.5000 0.0000 0.0000
Cs 0.0000 0.0000 0.5000
Cs 0.5000 0.5000 0.5000
Cs 0.0000 0.5000 0.0000
Pu 0.5000 0.5000 0.0000
Pu 0.0000 0.5000 0.5000
Pu 0.5000 0.0000 0.5000
O 0.0000 0.2741 0.2741
O 0.0000 0.7259 0.7259
O 0.7500 0.2500 0.5000
O 0.2741 0.0000 0.2741
O 0.2741 0.2741 0.0000
O 0.7500 0.5000 0.2500
O 0.2500 0.5000 0.7500
O 0.5000 0.2500 0.7500
O 0.7259 0.7259 0.0000
O 0.7259 0.0000 0.7259
O 0.5000 0.7500 0.2500
O 0.2500 0.7500 0.5000
Mg 0.0000 0.0000 0.0000
CELL_PARAMETERS angstrom
-4.6490 3.7465 -4.6399
3.9499 -5.0893 -3.9593
-4.0538 -3.5357 5.3145

=====

(3)
! PBE Cs2PuMgO6, relaxed; values from VASP
! **Raw formation energy**: -2.06 eV/atom
&SYSTEM
  ibrav = 0, nat = 20, ntyp = 4
/
ATOMIC_SPECIES
Pu 244.00 Pu.upf
Cs 132.91 Cs.upf
O 16.00 O.upf
Mg 24.30 Mg.upf
ATOMIC_POSITIONS crystal
Pu 0.0000 0.7063 0.0000
Pu 0.5000 0.2937 0.5000
Cs 0.5000 0.8011 0.7317
Cs 0.0000 0.1989 0.2317
Cs 0.0000 0.1989 0.7683
Cs 0.5000 0.8011 0.2683
O 0.0000 0.7022 0.2625
O 0.7284 0.4721 0.5000
O 0.7716 0.5279 0.0000
O 0.2000 0.8971 0.0000
O 0.3000 0.1029 0.5000
O 0.7000 0.1029 0.5000
O 0.2716 0.4721 0.5000
O 0.8000 0.8971 0.0000
O 0.2284 0.5279 0.0000
O 0.0000 0.7022 0.7375
O 0.5000 0.2978 0.2375
O 0.5000 0.2978 0.7625
Mg 0.0000 0.6020 0.5000
Mg 0.5000 0.3980 0.0000
CELL_PARAMETERS angstrom
-6.3311 0.9820 1.1971
0.4833 -4.2932 6.0778
1.7827 6.2686 4.2863

=====

(4)
! PBE CsRbMg6O7, relaxed; values from VASP
! **Raw formation energy**: -1.68 eV/atom
! **E above lowest polymorph**: 7 meV per atom
&SYSTEM
  ibrav = 0, nat = 15, ntyp = 4
/
ATOMIC_SPECIES
O 16.00 O.upf
Mg 24.30 Mg.upf
Cs 132.91 Cs.upf
Rb 85.47 Rb.upf
ATOMIC_POSITIONS crystal
O 0.5000 0.0000 0.0114
O 0.5000 0.0000 0.4997
O 0.5000 0.5000 0.2561
O 0.0000 0.5000 0.0114
O 0.0000 0.0000 0.7342
O 0.0000 0.5000 0.4997
O 0.5000 0.5000 0.7555
Mg 0.5000 0.5000 0.0020
Mg 0.5000 0.5000 0.5096
Mg 0.0000 0.5000 0.7525
Mg 0.5000 0.0000 0.2530
Mg 0.5000 0.0000 0.7525
Mg 0.0000 0.5000 0.2530
Cs 0.0000 0.0000 0.4322
Rb 0.0000 0.0000 0.0272
CELL_PARAMETERS angstrom
-3.4520 -3.1825 -2.0476
2.7006 -0.1301 -4.3505
4.1467 -6.2748 2.7616

=====

Question: Among the records above, which one has the highest raw formation energy?
Answer: CsRbMg6O7